Entry 1:
This record from Alexandria via LeMat-Bulk describes an optimized crystal structure of SrAg4Br8. The functional is PBE.

The symmetry is No. 166.

Cell: 8.1943 8.1943 8.6049 Å, 61.57 61.57 60.00°
With the nearest neighbours (Å) after each atom.
Element x y z (fractional)
1 Sr 0.5000 0.5000 0.5000  6 Br 3.08
2 Ag 0.0000 0.5000 0.0000  6 Br 2.73-2.89
3 Ag 0.5000 0.5000 0.0000  6 Br 2.73-2.89
4 Ag 0.5000 0.0000 0.0000  6 Br 2.73-2.89
5 Ag 0.0000 0.0000 0.0000  6 Br 2.87
6 Br 0.7450 0.2420 0.7710  3 Ag 2.87-2.89, 1 Sr 3.08
7 Br 0.7580 0.2550 0.2290  3 Ag 2.87-2.89, 1 Sr 3.08
8 Br 0.2550 0.7580 0.2290  3 Ag 2.87-2.89, 1 Sr 3.08
9 Br 0.7580 0.7580 0.2290  3 Ag 2.87-2.89, 1 Sr 3.08
10 Br 0.7296 0.7296 0.8111  3 Ag 2.73
11 Br 0.2704 0.2704 0.1889  3 Ag 2.73
12 Br 0.2420 0.2420 0.7710  3 Ag 2.87-2.89, 1 Sr 3.08
13 Br 0.2420 0.7450 0.7710  3 Ag 2.87-2.89, 1 Sr 3.08

***

Entry 2:
This record from Alexandria via LeMat-Bulk describes an optimized crystal structure of Sr2AgBr. The functional is PBE.

The energy above the lowest structure with this stoichiometry is 0 meV per atom. The symmetry is No. 12.

Cell: 4.4453 4.4453 8.7193 Å, 75.11 75.11 59.90°
With the nearest neighbours (Å) after each atom.
Element x y z (fractional)
1 Sr 0.0074 0.0074 0.9759  3 Ag 3.18, 3 Br 3.43-3.44
2 Sr 0.4926 0.4926 0.5241  3 Ag 3.18, 3 Br 3.43-3.44
3 Ag 0.7500 0.7500 0.7500  6 Sr 3.18
4 Br 0.2500 0.2500 0.2500  6 Sr 3.43-3.44

***

no.,formation energy (no corrections) (eV/atom),electronic total energy (Ry per atom)
1,-0.64,-0.1966
2,-0.88,-0.2096